First-principles (PBE) data for a relaxed Th2CoPt crystal, as listed in Alexandria.

Cell: 6.9672 4.0286 7.2098 Å, 90.00 108.68 90.00°
Space group C2/m (No. 12)
Symmetry-distinct sites (fractional):
Th 0.2430 0.0000 0.2292 (multiplicity 4)
Co 0.0000 0.5000 0.0000 (multiplicity 2)
Pt 0.0000 0.0000 0.5000 (multiplicity 2)


First-principles (PBE) data for a relaxed Th4CoPt3 crystal, as listed in Alexandria.

Cell: 5.8748 5.8748 5.8748 Å, 90.00 90.00 90.00°
Space group Pm-3m (No. 221)
Symmetry-distinct sites (fractional):
Th 0.0000 0.0000 0.0000 (multiplicity 1)
Th 0.0000 0.5000 0.5000 (multiplicity 3)
Co 0.5000 0.5000 0.5000 (multiplicity 1)
Pt 0.0000 0.0000 0.5000 (multiplicity 3)


First-principles (PBE) data for a relaxed TmThCoPt crystal, as listed in Alexandria.

Properties
- polymorph energy (0 for the lowest one) (meV per atom) = 182

Cell: 6.9709 6.9709 6.9709 Å, 90.00 90.00 90.00°
Space group F-43m (No. 216)
Symmetry-distinct sites (fractional):
Tm 0.0000 0.0000 0.0000 (multiplicity 4)
Th 0.0000 0.0000 0.5000 (multiplicity 4)
Co 0.2500 0.2500 0.7500 (multiplicity 4)
Pt 0.2500 0.2500 0.2500 (multiplicity 4)


First-principles (PBE) data for a relaxed TmThCoPt crystal, as listed in Alexandria.

Properties
- polymorph energy (0 for the lowest one) (meV per atom) = 0

Cell: 4.0350 3.7768 11.2029 Å, 90.00 90.00 90.00°
Space group Amm2 (No. 38)
Symmetry-distinct sites (fractional):
Tm 0.0000 0.0000 0.0000 (multiplicity 2)
Th 0.5000 0.0000 0.2804 (multiplicity 2)
Co 0.0000 0.0000 0.7422 (multiplicity 2)
Pt 0.5000 0.0000 0.5611 (multiplicity 2)


First-principles (PBE) data for a relaxed Th2ZnCoPt crystal, as listed in Alexandria.

Cell: 7.4625 3.9809 7.7563 Å, 90.00 112.12 90.00°
Space group P2_1/m (No. 11)
Symmetry-distinct sites (fractional):
Th 0.0314 0.2500 0.2203 (multiplicity 2)
Th 0.3630 0.7500 0.6246 (multiplicity 2)
Zn 0.3498 0.2500 0.9465 (multiplicity 2)
Co 0.1081 0.2500 0.6147 (multiplicity 2)
Pt 0.3183 0.7500 0.1936 (multiplicity 2)


First-principles (PBE) data for a relaxed Ti6CoPt crystal, as listed in Alexandria.

Cell: 7.2464 5.5861 7.5275 Å, 90.00 113.42 90.00°
Space group C2/m (No. 12)
Symmetry-distinct sites (fractional):
Ti 0.1508 0.2455 0.2876 (multiplicity 8)
Ti 0.1740 0.5000 0.9711 (multiplicity 4)
Co 0.0000 0.0000 0.0000 (multiplicity 2)
Pt 0.0000 0.5000 0.5000 (multiplicity 2)


First-principles (PBE) data for a relaxed Ti11Co4Pt9 crystal, as listed in Alexandria.

Cell: 12.9805 19.3168 2.8279 Å, 90.00 90.00 90.00°
Space group Cmmm (No. 65)
Symmetry-distinct sites (fractional):
Ti 0.0000 0.0000 0.0000 (multiplicity 2)
Ti 0.0000 0.1583 0.0000 (multiplicity 4)
Ti 0.0000 0.3705 0.0000 (multiplicity 4)
Ti 0.1929 0.5000 0.0000 (multiplicity 4)
Ti 0.2419 0.1729 0.0000 (multiplicity 8)
Co 0.1493 0.3997 0.5000 (multiplicity 8)
Pt 0.0000 0.5000 0.5000 (multiplicity 2)
Pt 0.1070 0.2608 0.5000 (multiplicity 8)
Pt 0.1447 0.0736 0.5000 (multiplicity 8)


First-principles (PBE) data for a relaxed Ti2CoPt crystal, as listed in Alexandria.

Properties
- polymorph energy (0 for the lowest one) (meV per atom) = 0

Cell: 4.4704 2.8096 9.2194 Å, 90.00 90.00 90.00°
Space group Pmma (No. 51)
Symmetry-distinct sites (fractional):
Ti 0.2500 0.0000 0.1227 (multiplicity 2)
Ti 0.2500 0.0000 0.6623 (multiplicity 2)
Co 0.2500 0.5000 0.9035 (multiplicity 2)
Pt 0.2500 0.5000 0.3997 (multiplicity 2)


First-principles (PBE) data for a relaxed Ti6Co5Pt crystal, as listed in Alexandria.

Cell: 4.2141 6.1880 12.6285 Å, 90.00 90.00 90.00°
Space group Immm (No. 71)
Symmetry-distinct sites (fractional):
Ti 0.0000 0.2365 0.0000 (multiplicity 4)
Ti 0.0000 0.2564 0.3289 (multiplicity 8)
Co 0.0000 0.0000 0.1668 (multiplicity 4)
Co 0.0000 0.5000 0.1655 (multiplicity 4)
Co 0.0000 0.5000 0.5000 (multiplicity 2)
Pt 0.0000 0.0000 0.5000 (multiplicity 2)


First-principles (PBE) data for a relaxed Ti2CoPt crystal, as listed in Alexandria.

Properties
- polymorph energy (0 for the lowest one) (meV per atom) = 3

Cell: 2.8413 2.8413 7.1017 Å, 90.00 90.00 90.00°
Space group P4/mmm (No. 123)
Symmetry-distinct sites (fractional):
Ti 0.0000 0.0000 0.2271 (multiplicity 2)
Co 0.5000 0.5000 0.0000 (multiplicity 1)
Pt 0.5000 0.5000 0.5000 (multiplicity 1)


First-principles (PBE) data for a relaxed Ti2Co4Pt crystal, as listed in Alexandria.

Cell: 3.2914 3.2914 17.0971 Å, 90.00 90.00 90.00°
Space group I4/mmm (No. 139)
Symmetry-distinct sites (fractional):
Ti 0.0000 0.0000 0.0972 (multiplicity 4)
Co 0.0000 0.0000 0.3521 (multiplicity 4)
Co 0.0000 0.5000 0.2500 (multiplicity 4)
Pt 0.0000 0.0000 0.5000 (multiplicity 2)


First-principles (PBE) data for a relaxed Ti7Co2Pt crystal, as listed in Alexandria.

Cell: 7.3251 11.6981 4.2431 Å, 90.00 90.00 90.00°
Space group Cmmm (No. 65)
Symmetry-distinct sites (fractional):
Ti 0.0000 0.0000 0.0000 (multiplicity 2)
Ti 0.0000 0.2347 0.5000 (multiplicity 4)
Ti 0.1812 0.3800 0.0000 (multiplicity 8)
Co 0.0000 0.2003 0.0000 (multiplicity 4)
Pt 0.0000 0.5000 0.5000 (multiplicity 2)


First-principles (PBE) data for a relaxed Ti2CoPt crystal, as listed in Alexandria.

Properties
- polymorph energy (0 for the lowest one) (meV per atom) = 403

Cell: 6.7780 6.7780 5.3361 Å, 90.00 90.00 90.00°
Space group I-42d (No. 122)
Symmetry-distinct sites (fractional):
Ti 0.2252 0.2500 0.1250 (multiplicity 8)
Co 0.0000 0.0000 0.0000 (multiplicity 4)
Pt 0.0000 0.0000 0.5000 (multiplicity 4)


First-principles (PBE) data for a relaxed Ti2Co2Pt crystal, as listed in Alexandria.

Properties
- polymorph energy (0 for the lowest one) (meV per atom) = 290

Cell: 4.1950 4.1950 4.8799 Å, 90.00 90.00 120.00°
Space group P-3m1 (No. 164)
Symmetry-distinct sites (fractional):
Ti 0.3333 0.6667 0.2158 (multiplicity 2)
Co 0.3333 0.6667 0.6904 (multiplicity 2)
Pt 0.0000 0.0000 0.0000 (multiplicity 1)


First-principles (PBE) data for a relaxed Ti8CoPt2 crystal, as listed in Alexandria.

Cell: 14.1095 4.4609 6.0556 Å, 90.00 111.07 90.00°
Space group C2/m (No. 12)
Symmetry-distinct sites (fractional):
Ti 0.0157 0.0000 0.2572 (multiplicity 4)
Ti 0.0905 0.5000 0.9315 (multiplicity 4)
Ti 0.1536 0.5000 0.4239 (multiplicity 4)
Ti 0.1837 0.0000 0.7623 (multiplicity 4)
Co 0.0000 0.5000 0.5000 (multiplicity 2)
Pt 0.1890 0.0000 0.1899 (multiplicity 4)


First-principles (PBE) data for a relaxed Ti2Co2Pt crystal, as listed in Alexandria.

Properties
- polymorph energy (0 for the lowest one) (meV per atom) = 241

Cell: 7.0211 7.0211 2.8204 Å, 90.00 90.00 90.00°
Space group P4/mbm (No. 127)
Symmetry-distinct sites (fractional):
Ti 0.1544 0.3456 0.0000 (multiplicity 4)
Co 0.1381 0.6381 0.5000 (multiplicity 4)
Pt 0.0000 0.0000 0.0000 (multiplicity 2)


First-principles (PBE) data for a relaxed Ti2Co2Pt crystal, as listed in Alexandria.

Properties
- polymorph energy (0 for the lowest one) (meV per atom) = 0

Cell: 6.7732 6.7732 2.9431 Å, 90.00 90.00 90.00°
Space group P4/mbm (No. 127)
Symmetry-distinct sites (fractional):
Ti 0.1725 0.3275 0.0000 (multiplicity 4)
Co 0.1273 0.6273 0.5000 (multiplicity 4)
Pt 0.0000 0.0000 0.5000 (multiplicity 2)


First-principles (PBE) data for a relaxed Ti12CoPt6 crystal, as listed in Alexandria.

Cell: 11.1113 11.1113 10.3598 Å, 90.00 90.00 120.00°
Space group R-3 (No. 148, hexagonal axes)
Symmetry-distinct sites (fractional):
Ti 0.0373 0.2252 0.4009 (multiplicity 18)
Ti 0.0482 0.2036 0.8926 (multiplicity 18)
Co 0.0000 0.0000 0.0000 (multiplicity 3)
Pt 0.0524 0.2662 0.6491 (multiplicity 18)


First-principles (PBE) data for a relaxed TiCo2Pt2 crystal, as listed in Alexandria.

Properties
- polymorph energy (0 for the lowest one) (meV per atom) = 14

Cell: 3.3317 3.3317 13.3809 Å, 90.00 90.00 90.00°
Space group I4/mmm (No. 139)
Symmetry-distinct sites (fractional):
Ti 0.0000 0.0000 0.0000 (multiplicity 2)
Co 0.0000 0.5000 0.2500 (multiplicity 4)
Pt 0.0000 0.0000 0.3999 (multiplicity 4)


First-principles (PBE) data for a relaxed Ti2CoPt crystal, as listed in Alexandria.

Properties
- polymorph energy (0 for the lowest one) (meV per atom) = 19

Cell: 3.0361 4.2528 9.4128 Å, 90.00 99.37 90.00°
Space group P2_1/m (No. 11)
Symmetry-distinct sites (fractional):
Ti 0.0520 0.2500 0.1040 (multiplicity 2)
Ti 0.1923 0.7500 0.3825 (multiplicity 2)
Co 0.4386 0.2500 0.8784 (multiplicity 2)
Pt 0.3330 0.7500 0.6678 (multiplicity 2)


First-principles (PBE) data for a relaxed TiCoPt6 crystal, as listed in Alexandria.

Cell: 5.5506 5.5506 3.9039 Å, 90.00 90.00 90.00°
Space group P4/mmm (No. 123)
Symmetry-distinct sites (fractional):
Ti 0.0000 0.0000 0.0000 (multiplicity 1)
Co 0.5000 0.5000 0.0000 (multiplicity 1)
Pt 0.0000 0.5000 0.0000 (multiplicity 2)
Pt 0.2496 0.2496 0.5000 (multiplicity 4)


First-principles (PBE) data for a relaxed TiCo2Pt2 crystal, as listed in Alexandria.

Properties
- polymorph energy (0 for the lowest one) (meV per atom) = 0

Cell: 6.1916 6.1916 3.6493 Å, 90.00 90.00 90.00°
Space group P4/mbm (No. 127)
Symmetry-distinct sites (fractional):
Ti 0.0000 0.0000 0.0000 (multiplicity 2)
Co 0.1329 0.3671 0.0000 (multiplicity 4)
Pt 0.1645 0.6645 0.5000 (multiplicity 4)


First-principles (PBE) data for a relaxed Ti3CoPt2 crystal, as listed in Alexandria.

Cell: 2.8480 2.8480 10.9029 Å, 90.00 90.00 90.00°
Space group P4/mmm (No. 123)
Symmetry-distinct sites (fractional):
Ti 0.0000 0.0000 0.0000 (multiplicity 1)
Ti 0.0000 0.0000 0.3533 (multiplicity 2)
Co 0.5000 0.5000 0.5000 (multiplicity 1)
Pt 0.5000 0.5000 0.1772 (multiplicity 2)


First-principles (PBE) data for a relaxed TiCo3Pt crystal, as listed in Alexandria.

Cell: 4.1873 4.1873 4.1873 Å, 90.00 90.00 90.00°
Space group Pm-3m (No. 221)
Symmetry-distinct sites (fractional):
Ti 0.0000 0.0000 0.0000 (multiplicity 1)
Co 0.0000 0.0000 0.5000 (multiplicity 3)
Pt 0.5000 0.5000 0.5000 (multiplicity 1)


Summary of magnetization in μB per cell
0.00; 0.00; 1.19; 0.00; 0.00; 0.00; 1.23; 0.00; 9.23; 0.00; 6.79; 0.00; 0.03; 0.00; 0.02; 0.00; 0.00; 0.00; 6.90; 1.73; 3.18; 4.54; 0.03; 2.65
(order as listed above)
Summary of total energy in eV/atom
-7.74; -7.79; -6.88; -7.07; -6.53; -7.67; -7.86; -7.86; -7.86; -7.86; -7.44; -7.40; -7.46; -7.45; -7.89; -7.50; -7.75; -7.61; -7.10; -7.84; -6.88; -7.11; -7.87; -6.09
(order as listed above)
Summary of energy of formation in eV/atom
-0.7420; -0.9290; -0.6252; -0.8074; -0.6819; -0.1053; -0.7882; -0.6266; -0.4501; -0.6235; -0.2580; 0.1496; -0.2240; -0.2461; -0.4046; -0.2955; -0.5365; -0.3462; -0.2602; -0.6071; -0.4755; -0.2744; -0.7213; 0.9607
(order as listed above)